Entry from Alexandria via LeMat-Bulk: a relaxed RbAg3Ru crystal (PBEsol).

Cell: 5.2207 5.2207 5.2207 Å, 90.00 90.00 90.00°
Last column: magnetic moment on the atom in μB.
Fractional positions:
Ag1 0.5000 0.0000 0.0000  -0.06
Ag2 0.0000 0.0000 0.5000  -0.06
Ag3 0.0000 0.5000 0.0000  -0.06
Rb1 0.0000 0.0000 0.0000  -0.04
Ru1 0.5000 0.5000 0.5000  2.23

The symmetry is Pm-3m, No. 221. The formation energy is 2.35 eV/atom. The value obtained for the total energy is -1.876 eV per atom.

---

Entry from Alexandria via LeMat-Bulk: a relaxed YAl2Tc crystal (PBEsol).

Cell: 3.1797 3.1797 7.0320 Å, 90.00 90.00 90.00°
Fractional positions:
Y1 0.5000 0.5000 0.5000
Tc1 0.5000 0.5000 0.0000
Al1 0.0000 0.0000 0.8124
Al2 0.0000 0.0000 0.1876

The symmetry is P4/mmm, No. 123. The formation energy is -0.32 eV/atom. The value obtained for the total energy is -6.891 eV per atom.

---

Entry from Alexandria via LeMat-Bulk: a relaxed TaMoW2 crystal (PBEsol).

Cell: 2.7573 2.7573 8.9362 Å, 90.00 90.00 109.84°
Fractional positions:
W1 0.5000 0.5000 0.7487
W2 0.0000 0.0000 0.9948
Ta1 0.5000 0.5000 0.2514
Mo1 0.0000 0.0000 0.5050

The symmetry is Cmm2, No. 35. The formation energy is -0.06 eV/atom. The value obtained for the total energy is -13.046 eV per atom.

---

Entry from Alexandria via LeMat-Bulk: a relaxed Tl2Se crystal (PBEsol).

Cell: 4.6940 8.0461 8.0461 Å, 120.00 90.00 90.00°
Fractional positions:
Tl1 0.0000 0.2603 0.0000
Tl2 0.0000 0.7397 0.7397
Tl3 0.0000 0.0000 0.2603
Tl4 0.5000 0.5880 0.0000
Tl5 0.5000 0.4120 0.4120
Tl6 0.5000 0.0000 0.5880
Se1 0.0000 0.6667 0.3333
Se2 0.0000 0.3333 0.6667
Se3 0.5000 0.0000 0.0000

The symmetry is P-62m, No. 189. The value obtained for the total energy is -3.283 eV per atom. The uncorrected formation energy comes out at -0.246 eV per atom.

---

Entry from Alexandria via LeMat-Bulk: a relaxed Dy3Si6Pd20 crystal (PBEsol).

Cell: 8.5737 8.5737 8.5737 Å, 60.00 60.00 60.00°
Fractional positions:
Pd1 0.1499 0.6167 0.6167
Pd2 0.3458 0.0000 0.0000
Pd3 0.0000 0.6542 0.3458
Pd4 0.3833 0.3833 0.3833
Pd5 0.8501 0.3833 0.3833
Pd6 0.0000 0.6542 0.0000
Pd7 0.6542 0.3458 0.0000
Pd8 0.0000 0.3458 0.6542
Pd9 0.6167 0.1499 0.6167
Pd10 0.3458 0.0000 0.6542
Pd11 0.0000 0.3458 0.0000
Pd12 0.0000 0.0000 0.3458
Pd13 0.3833 0.3833 0.8501
Pd14 0.6542 0.0000 0.3458
Pd15 0.6167 0.6167 0.1499
Pd16 0.6542 0.0000 0.0000
Pd17 0.0000 0.0000 0.6542
Pd18 0.6167 0.6167 0.6167
Pd19 0.3458 0.6542 0.0000
Pd20 0.3833 0.8501 0.3833
Dy1 0.7500 0.7500 0.7500
Dy2 0.0000 0.0000 0.0000
Dy3 0.2500 0.2500 0.2500
Si1 0.2674 0.7326 0.7326
Si2 0.7326 0.7326 0.2674
Si3 0.2674 0.7326 0.2674
Si4 0.7326 0.2674 0.7326
Si5 0.2674 0.2674 0.7326
Si6 0.7326 0.2674 0.2674

The symmetry is Fm-3m, No. 225. The value obtained for the total energy is -6.673 eV per atom. The uncorrected formation energy comes out at -0.860 eV per atom.

---

Entry from Alexandria via LeMat-Bulk: a relaxed CaHfMg2As crystal (PBEsol).

Cell: 5.0263 5.4640 5.4640 Å, 90.00 90.00 90.00°
Fractional positions:
As1 0.5000 0.0000 0.0000
Mg1 0.0000 0.0000 0.5000
Mg2 0.0000 0.5000 0.0000
Hf1 0.0000 0.0000 0.0000
Ca1 0.5000 0.5000 0.5000

The symmetry is P4/mmm, No. 123. The formation energy is 0.29 eV/atom. The value obtained for the total energy is -3.950 eV per atom.

---

Entry from Alexandria via LeMat-Bulk: a relaxed SrHRh2 crystal (PBEsol).

Cell: 5.5892 5.5892 5.5892 Å, 60.00 60.00 60.00°
Fractional positions:
H1 0.2500 0.2500 0.2500
H2 0.0000 0.0000 0.0000
Sr1 0.5000 0.5000 0.5000
Sr2 0.7500 0.7500 0.7500
Rh1 0.1250 0.1250 0.6250
Rh2 0.1250 0.6250 0.1250
Rh3 0.6250 0.1250 0.1250
Rh4 0.1250 0.1250 0.1250

The symmetry is Fd-3m, No. 227. The value obtained for the total energy is -5.606 eV per atom.

---

Entry from Alexandria via LeMat-Bulk: a relaxed Li2MgNi crystal (PBEsol).

Cell: 2.8750 4.4179 5.3300 Å, 113.55 105.65 90.00°
Fractional positions:
Li1 0.2193 0.2188 0.4387
Li2 0.7807 0.7812 0.5613
Ni1 0.5000 0.0000 0.0000
Mg1 0.0000 0.5000 0.0000

The symmetry is C2/m, No. 12. The formation energy is 0.01 eV/atom. The value obtained for the total energy is -2.947 eV per atom.

---

Entry from Alexandria via LeMat-Bulk: a relaxed Eu2Ti2O5 crystal (PBEsol).

Cell: 5.4496 5.5031 8.6112 Å, 108.63 108.45 90.00°
Last column: magnetic moment on the atom in μB.
Fractional positions:
O1 0.3817 0.4336 0.7443  -0.02
O2 0.2755 0.7660 0.0319  -0.02
O3 0.5099 0.0003 0.5000  -0.03
O4 0.8817 0.8108 0.7443  -0.02
O5 0.7436 0.2341 0.9681  -0.02
O6 0.2436 0.2340 0.9681  -0.02
O7 0.6374 0.5664 0.2557  -0.02
O8 0.1374 0.1892 0.2557  -0.02
O9 0.0099 0.9997 0.5000  -0.03
O10 0.7755 0.7659 0.0319  -0.02
Eu1 0.8872 0.3733 0.7557  6.70
Eu2 0.3872 0.8824 0.7557  6.70
Eu3 0.6315 0.1176 0.2443  6.70
Eu4 0.1315 0.6267 0.2443  6.70
Ti1 0.7596 0.7485 0.5000  0.07
Ti2 0.0095 0.0000 0.0000  0.19
Ti3 0.5095 0.5000 0.0000  0.19
Ti4 0.2596 0.2515 0.5000  0.07

The symmetry is Imma, No. 74. The value obtained for the total energy is -10.078 eV per atom. The uncorrected formation energy comes out at -2.965 eV per atom.

---

Entry from Alexandria via LeMat-Bulk: a relaxed ReHg3As crystal (PBEsol).

Cell: 5.1601 5.1601 5.1601 Å, 90.00 90.00 90.00°
Last column: magnetic moment on the atom in μB.
Fractional positions:
As1 0.5000 0.5000 0.5000  0.25
Re1 0.0000 0.0000 0.0000  1.37
Hg1 0.0000 0.5000 0.0000  0.02
Hg2 0.5000 0.0000 0.0000  0.02
Hg3 0.0000 0.0000 0.5000  0.02

The symmetry is Pm-3m, No. 221. The formation energy is 1.36 eV/atom. The value obtained for the total energy is -2.665 eV per atom.

---

Entry from Alexandria via LeMat-Bulk: a relaxed CrMoBr2 crystal (PBEsol).

Cell: 4.7458 4.7458 4.7458 Å, 60.00 60.00 60.00°
Last column: magnetic moment on the atom in μB.
Fractional positions:
Mo1 0.2500 0.2500 0.2500  -2.80
Br1 0.0000 0.0000 0.0000  0.03
Br2 0.7500 0.7500 0.7500  -0.15
Cr1 0.5000 0.5000 0.5000  3.34

The symmetry is F-43m, No. 216. The value obtained for the total energy is -5.381 eV per atom. The uncorrected formation energy comes out at 1.056 eV per atom.

---

Entry from Alexandria via LeMat-Bulk: a relaxed SrIr2 crystal (PBEsol).

Cell: 2.8304 5.9991 7.5148 Å, 112.23 90.00 103.64°
Fractional positions:
Ir1 0.5416 0.0832 0.6954
Ir2 0.1604 0.3208 0.5120
Ir3 0.8396 0.6792 0.4880
Ir4 0.4584 0.9168 0.3046
Sr1 0.8505 0.7010 0.8911
Sr2 0.1495 0.2990 0.1089

The symmetry is C2/m, No. 12. The formation energy is 0.25 eV/atom. The value obtained for the total energy is -6.916 eV per atom.

---

Entry from Alexandria via LeMat-Bulk: a relaxed TaTcAg2 crystal (PBEsol).

Cell: 2.6950 4.1039 5.7872 Å, 90.00 90.00 90.00°
Fractional positions:
Ag1 0.0000 0.0000 0.0041
Ag2 0.5000 0.5000 0.2416
Ta1 0.0000 0.0000 0.5114
Tc1 0.5000 0.5000 0.7429

The symmetry is Pmm2, No. 25. The formation energy is 0.27 eV/atom. The value obtained for the total energy is -7.340 eV per atom.

---

Entry from Alexandria via LeMat-Bulk: a relaxed Ba2CePbO6 crystal (PBEsol).

Cell: 6.1009 6.1009 6.1009 Å, 60.64 60.64 60.64°
Fractional positions:
Pb1 0.0000 0.0000 0.0000
O1 0.7531 0.1923 0.3042
O2 0.3042 0.7531 0.1923
O3 0.6958 0.2469 0.8077
O4 0.1923 0.3042 0.7531
O5 0.8077 0.6958 0.2469
O6 0.2469 0.8077 0.6958
Ba1 0.2489 0.2489 0.2489
Ba2 0.7511 0.7511 0.7511
Ce1 0.5000 0.5000 0.5000

The symmetry is R-3, No. 148. The value obtained for the total energy is -7.114 eV per atom. The uncorrected formation energy comes out at -2.475 eV per atom.

---

Entry from Alexandria via LeMat-Bulk: a relaxed SrCdO2 crystal (PBEsol).

Cell: 5.2326 5.2326 6.5522 Å, 113.53 113.53 90.00°
Fractional positions:
O1 0.1250 0.0969 0.7500
O2 0.6250 0.6531 0.7500
O3 0.9031 0.3750 0.2500
O4 0.3469 0.8750 0.2500
Cd1 0.0000 0.0000 0.0000
Cd2 0.2500 0.7500 0.5000
Sr1 0.5000 0.5000 0.0000
Sr2 0.7500 0.2500 0.5000

The symmetry is I-42d, No. 122. The value obtained for the total energy is -5.183 eV per atom. The uncorrected formation energy comes out at -1.799 eV per atom.

---

Entry from Alexandria via LeMat-Bulk: a relaxed BaY3F11 crystal (PBEsol).

Cell: 7.6190 8.0377 8.0965 Å, 80.83 64.49 63.65°
Fractional positions:
Y1 0.7701 0.2678 0.7089
Y2 0.8111 0.2445 0.1523
Y3 0.2712 0.2534 0.2047
Y4 0.7288 0.7466 0.7953
Y5 0.1889 0.7555 0.8477
Y6 0.2299 0.7322 0.2911
F1 0.1758 0.1845 0.0073
F2 0.9910 0.0639 0.8420
F3 0.2312 0.4588 0.3862
F4 0.7688 0.5412 0.6138
F5 0.2757 0.7809 0.5335
F6 0.4493 0.8773 0.6948
F7 0.8507 0.4141 0.8896
F8 0.7243 0.2191 0.4665
F9 0.5711 0.2881 0.0205
F10 0.8242 0.8155 0.9927
F11 0.9262 0.3973 0.2636
F12 0.5507 0.1227 0.3052
F13 0.4289 0.7119 0.9795
F14 0.5647 0.5361 0.2397
F15 0.6319 0.0546 0.7878
F16 0.0738 0.6027 0.7364
F17 0.3681 0.9454 0.2122
F18 0.1012 0.1891 0.4968
F19 0.4353 0.4639 0.7603
F20 0.8988 0.8109 0.5032
F21 0.0090 0.9361 0.1580
F22 0.1493 0.5859 0.1104
Ba1 0.3117 0.2466 0.6604
Ba2 0.6883 0.7534 0.3396

The symmetry is P-1, No. 2. The value obtained for the total energy is -7.018 eV per atom. The uncorrected formation energy comes out at -4.097 eV per atom.

---

Entry from Alexandria via LeMat-Bulk: a relaxed YTcP crystal (PBEsol).

Cell: 4.3014 4.3014 4.3014 Å, 60.00 60.00 60.00°
Fractional positions:
Y1 0.0000 0.0000 0.0000
Tc1 0.7500 0.7500 0.7500
P1 0.5000 0.5000 0.5000

The symmetry is F-43m, No. 216. The formation energy is -0.06 eV/atom. The value obtained for the total energy is -8.019 eV per atom.

---

Entry from Alexandria via LeMat-Bulk: a relaxed Zr2NiRh crystal (PBEsol).

Cell: 3.2938 4.1612 5.2257 Å, 90.00 108.37 90.00°
Fractional positions:
Ni1 0.7151 0.0000 0.4302
Rh1 0.5391 0.5000 0.0782
Zr1 0.2675 0.5000 0.5349
Zr2 0.9849 0.0000 0.9698

The symmetry is Amm2, No. 38. The formation energy is -0.62 eV/atom. The value obtained for the total energy is -8.739 eV per atom.

---

Entry from Alexandria via LeMat-Bulk: a relaxed Ga3Te crystal (PBEsol).

Cell: 4.2266 4.2266 5.7254 Å, 111.66 111.66 90.00°
Fractional positions:
Ga1 0.7500 0.2500 0.5000
Ga2 0.2500 0.7500 0.5000
Ga3 0.5000 0.5000 0.0000
Te1 0.0000 0.0000 0.0000

The symmetry is I4/mmm, No. 139. The value obtained for the total energy is -3.360 eV per atom. The uncorrected formation energy comes out at 0.026 eV per atom.

---

Entry from Alexandria via LeMat-Bulk: a relaxed RbTiTeI2 crystal (PBEsol).

Cell: 6.0695 6.2739 6.2739 Å, 90.00 90.00 90.00°
Last column: magnetic moment on the atom in μB.
Fractional positions:
Ti1 0.5000 0.5000 0.5000  2.06
I1 0.0000 0.5000 0.0000  -0.09
I2 0.0000 0.0000 0.5000  -0.09
Rb1 0.0000 0.0000 0.0000  -0.01
Te1 0.5000 0.0000 0.0000  -0.35

The symmetry is P4/mmm, No. 123. The value obtained for the total energy is -2.499 eV per atom. The uncorrected formation energy comes out at 0.782 eV per atom.

---

Entry from Alexandria via LeMat-Bulk: a relaxed Li2CuPO4 crystal (PBEsol).

Cell: 4.9853 5.2309 6.1324 Å, 90.00 90.00 90.00°
Fractional positions:
O1 0.1104 0.3182 0.2956
O2 0.0899 0.8935 0.5000
O3 0.1104 0.3182 0.7044
O4 0.6877 0.1921 0.5000
O5 0.1877 0.8079 0.0000
O6 0.6104 0.6818 0.2044
O7 0.6104 0.6818 0.7956
O8 0.5899 0.1065 0.0000
Li1 0.0014 0.6753 0.2504
Li2 0.5014 0.3247 0.7504
Li3 0.5014 0.3247 0.2496
Li4 0.0014 0.6753 0.7496
Cu1 0.0014 0.1905 0.0000
Cu2 0.5014 0.8095 0.5000
P1 0.4974 0.8232 0.0000
P2 0.9974 0.1768 0.5000

The symmetry is Pmn2_1, No. 31. The value obtained for the total energy is -6.348 eV per atom. The uncorrected formation energy comes out at -1.966 eV per atom.

---

Entry from Alexandria via LeMat-Bulk: a relaxed ScCd2Pt crystal (PBEsol).

Cell: 3.4128 3.4128 8.5401 Å, 78.47 78.47 60.00°
Fractional positions:
Sc1 0.7625 0.7625 0.7126
Cd1 0.9993 0.9993 0.0020
Cd2 0.2430 0.2430 0.2710
Pt1 0.4952 0.4952 0.5144

The symmetry is R3m, No. 160. The formation energy is -0.31 eV/atom. The value obtained for the total energy is -4.299 eV per atom.

---

Entry from Alexandria via LeMat-Bulk: a relaxed Ba2TaTiH crystal (PBEsol).

Cell: 3.3388 6.1595 6.1595 Å, 90.00 90.00 90.00°
Last column: magnetic moment on the atom in μB.
Fractional positions:
Ba1 0.0000 0.5000 0.0000  0.04
Ba2 0.0000 0.0000 0.5000  0.04
Ta1 0.5000 0.5000 0.5000  -0.24
Ti1 0.0000 0.0000 0.0000  0.75
H1 0.5000 0.0000 0.0000  -0.01

The symmetry is P4/mmm, No. 123. The value obtained for the total energy is -4.510 eV per atom.

---

Entry from Alexandria via LeMat-Bulk: a relaxed AgPbSe crystal (PBEsol).

Cell: 3.6054 3.6054 5.7802 Å, 108.17 108.17 90.00°
Fractional positions:
Se1 0.3600 0.3600 0.7201
Ag1 0.9780 0.9780 0.9560
Pb1 0.6620 0.6620 0.3240

The symmetry is I4mm, No. 107. The value obtained for the total energy is -3.696 eV per atom. The uncorrected formation energy comes out at 0.024 eV per atom.